[1]
A plane-wave DFT calculation with PBE was carried out for a relaxed structure of TlInMo2.

Summary:
- Total energy: -24.3 eV per cell
- Distance to the lowest polymorph of the same formula: 292.1 meV per atom
- DOS at the Fermi energy: 0.76 states/eV per atom

The structure in CIF format:
```
data_TlInMo2
_chemical_formula_sum 'Tl1 In1 Mo2'
_space_group_name_H-M_alt 'P 1 2/m 1'
_space_group_IT_number 10
_cell_length_a 2.984
_cell_length_b 4.725
_cell_length_c 5.607
_cell_angle_alpha 90.00
_cell_angle_beta 96.17
_cell_angle_gamma 90.00
loop_
_space_group_symop_operation_xyz
'x,y,z'
'-x,-y,-z'
'-x,y,-z'
'x,-y,z'
loop_
_atom_site_label
_atom_site_fract_x
_atom_site_fract_y
_atom_site_fract_z
_atom_site_occupancy
Tl1 0.000 0.000 0.000 1
In1 0.500 0.000 0.500 1
Mo1 0.172 0.500 0.714 1
```

=====

[2]
A plane-wave DFT calculation with PBE was carried out for a relaxed structure of SrDy3Tl4.

Summary:
- Total energy: -55.1 eV per cell
- DOS at the Fermi energy: 0.80 states/eV per atom

The structure in CIF format:
```
data_SrDy3Tl4
_chemical_formula_sum 'Sr2 Dy6 Tl8'
_space_group_name_H-M_alt 'P m m a'
_space_group_IT_number 51
_cell_length_a 10.974
_cell_length_b 7.662
_cell_length_c 5.490
_cell_angle_alpha 90.00
_cell_angle_beta 90.00
_cell_angle_gamma 90.00
loop_
_space_group_symop_operation_xyz
'x,y,z'
'-x,-y,-z'
'-x+1/2,-y,z'
'x+1/2,y,-z'
'x+1/2,-y,-z'
'-x+1/2,y,z'
'-x,y,-z'
'x,-y,z'
loop_
_atom_site_label
_atom_site_fract_x
_atom_site_fract_y
_atom_site_fract_z
_atom_site_occupancy
Sr1 0.000 0.000 0.000 1
Dy1 0.000 0.500 0.000 1
Dy2 0.250 0.000 0.498 1
Dy3 0.250 0.500 0.497 1
Tl1 0.000 0.260 0.500 1
Tl2 0.250 0.260 0.996 1
```